Below is an optimized crystal structure of K5Sr3, with properties calculated at the PBE level.

a = 4.2936 Å, b = 4.2936 Å, c = 29.4214 Å
α = 90.00°, β = 90.00°, γ = 110.35°
With the nearest neighbours (Å) after each atom.
Atoms (fractional coordinates):
K1 0.0000 0.0000 0.3694  8 K 4.29-4.58
K2 0.5000 0.5000 0.7623  6 K 4.29-4.58, 2 Sr 4.41
K3 0.5000 0.5000 0.5000  8 K 4.29-4.56
K4 0.5000 0.5000 0.2377  6 K 4.29-4.58, 2 Sr 4.41
K5 0.0000 0.0000 0.6306  8 K 4.29-4.58
Sr1 0.5000 0.5000 0.0000  8 Sr 4.13-4.29
Sr2 0.0000 0.0000 0.8868  6 Sr 4.13-4.29, 2 K 4.41
Sr3 0.0000 0.0000 0.1132  6 Sr 4.13-4.29, 2 K 4.41

Calculated values
- Space group: Cmmm (65)
- Excess energy over the best structure of this formula in the dataset: 0 meV per atom
- E_form: 0.3 eV/f.u.

Below is an optimized crystal structure of AgSe2N2, with properties calculated at the PBE level.

a = 3.7456 Å, b = 3.7456 Å, c = 6.4462 Å
α = 90.00°, β = 90.00°, γ = 90.00°
With the nearest neighbours (Å) after each atom.
Atoms (fractional coordinates):
N1 0.0000 0.5000 0.0000  2 Se 1.87
N2 0.5000 0.0000 0.0000  2 Se 1.87
Se1 0.0000 0.0000 0.0000  4 N 1.87
Se2 0.0000 0.0000 0.5000  4 Ag 2.65
Ag1 0.5000 0.5000 0.5000  4 Se 2.65

Calculated values
- Space group: P4/mmm (123)
- Excess energy over the best structure of this formula in the dataset: 149 meV per atom
- E_form (uncorrected): 1.449 eV/atom

Below is an optimized crystal structure of TiGa2Au, with properties calculated at the PBE level.

a = 3.8896 Å, b = 4.1008 Å, c = 4.1008 Å
α = 90.00°, β = 90.00°, γ = 90.00°
With the nearest neighbours (Å) after each atom.
Atoms (fractional coordinates):
Au1 0.5000 0.5000 0.5000  8 Ga 2.83, 4 Ti 2.90
Ti1 0.5000 0.0000 0.0000  8 Ga 2.83, 4 Au 2.90
Ga1 0.0000 0.5000 0.0000  4 Au 2.83, 4 Ti 2.83, 4 Ga 2.90
Ga2 0.0000 0.0000 0.5000  4 Ti 2.83, 4 Au 2.83, 4 Ga 2.90

Calculated values
- Space group: P4/mmm (123)
- E_form: -1.6 eV/f.u.

Below is an optimized crystal structure of CsMgPS4, with properties calculated at the PBE level.

a = 6.1508 Å, b = 6.8201 Å, c = 9.3057 Å
α = 90.00°, β = 108.23°, γ = 90.00°
With the nearest neighbours (Å) after each atom.
Atoms (fractional coordinates):
Mg1 0.7719 0.7500 0.4524  6 S 2.54-2.84
Mg2 0.2281 0.2500 0.5476  6 S 2.54-2.84
S1 0.5615 0.2500 0.4410  1 P 2.03
S2 0.4031 0.7500 0.1992  1 P 2.05
S3 0.0058 0.4875 0.6869  1 P 2.07
S4 0.5969 0.2500 0.8008  1 P 2.05
S5 0.0058 0.0125 0.6869  1 P 2.07
S6 0.9942 0.5125 0.3131  1 P 2.07
S7 0.4385 0.7500 0.5590  1 P 2.03
S8 0.9942 0.9875 0.3131  1 P 2.07
P1 0.7856 0.2500 0.6546  4 S 2.03-2.07
P2 0.2144 0.7500 0.3454  4 S 2.03-2.07
Cs1 0.7401 0.7500 0.9348  8 S 3.41-3.74
Cs2 0.2599 0.2500 0.0652  8 S 3.41-3.74

Calculated values
- Space group: P2_1/m (11)
- E_form (uncorrected): -0.886 eV/atom

Energy across the listed records, respectively: -1.278, -3.845, -4.710, -4.367 eV per atom.
D(E_F) across the listed records, respectively: 8.4, 1.9, 2.3, 0.0 states/eV per cell.